# 1
Here is a relaxed CuAg3 crystal from Alexandria via LeMat-Bulk. Energies are from PBE.

```
CuAg3
1.0
5.7596 0.0000 0.0000
-2.8798 4.9879 0.0000
0.0000 0.0000 4.6427
Cu Ag
2 6
direct
0.3333 0.6667 0.2500
0.6667 0.3333 0.7500
0.1696 0.3392 0.7500
0.1696 0.8304 0.7500
0.3392 0.1696 0.2500
0.6608 0.8304 0.7500
0.8304 0.1696 0.2500
0.8304 0.6608 0.2500
```

Output
N(E_F)	2.85	states/eV/cell
symmetry	P6_3/mmc, No. 194
electronic total energy	-3.054	eV per atom
DFT formation energy	0.11	eV/atom

=====

# 2
Here is a relaxed CuN crystal from Alexandria via LeMat-Bulk. Energies are from PBE.

```
CuN
1.0
0.0000 4.8645 5.1184
2.0731 0.0000 5.1184
2.0731 4.8645 0.0000
Cu N
4 4
direct
0.0187 0.7313 0.0187
0.2687 0.9813 0.2687
0.7313 0.0187 0.7313
0.9813 0.2687 0.9813
0.0071 0.0071 0.7429
0.2571 0.2571 0.9929
0.7429 0.7429 0.0071
0.9929 0.9929 0.2571
```

Output
N(E_F)	4.61	states/eV/cell
symmetry	Fddd, No. 70
electronic total energy	-5.155	eV per atom
ΔE_f (raw)	2.111	eV per formula unit
energy above the lowest structure with this stoichiometry	678	meV per atom

=====

# 3
Here is a relaxed Er2ThAs crystal from Alexandria via LeMat-Bulk. Energies are from PBE.

```
Er2ThAs
1.0
1.8976 1.0956 9.2111
-1.8976 1.0956 9.2111
0.0000 -2.1912 9.2111
Er Th As
2 1 1
direct
0.2298 0.2298 0.2298
0.7702 0.7702 0.7702
0.0000 0.0000 0.0000
0.5000 0.5000 0.5000
```

Output
N(E_F)	4.40	states/eV/cell
symmetry	R-3m, No. 166
electronic total energy	-5.869	eV per atom
DFT formation energy	-0.57	eV/atom

=====

# 4
Here is a relaxed NdScGaCu crystal from Alexandria via LeMat-Bulk. Energies are from PBE.

```
NdScGaCu
1.0
0.0000 3.5024 3.5024
3.5024 0.0000 3.5024
3.5024 3.5024 0.0000
Nd Sc Ga Cu
1 1 1 1
direct
0.0000 0.0000 0.0000
0.5000 0.5000 0.5000
0.7500 0.7500 0.7500
0.2500 0.2500 0.2500
```

Output
N(E_F)	3.74	states/eV/cell
symmetry	F-43m, No. 216
electronic total energy	-4.916	eV per atom
DFT formation energy	-0.36	eV/atom

=====

# 5
Here is a relaxed La2SiIrC crystal from Alexandria via LeMat-Bulk. Energies are from PBE.

```
La2SiIrC
1.0
5.3805 0.0000 0.0000
0.0000 5.3805 0.0000
0.0000 0.0000 3.8640
La Si Ir C
2 1 1 1
direct
0.0000 0.5000 0.0000
0.5000 0.0000 0.0000
0.0000 0.0000 0.5000
0.5000 0.5000 0.5000
0.5000 0.5000 0.0000
```

Output
N(E_F)	3.63	states/eV/cell
symmetry	P4/mmm, No. 123
electronic total energy	-7.084	eV per atom
ΔE_f (raw)	-2.056	eV per formula unit

=====

# 6
Here is a relaxed Pm3HoIn2 crystal from Alexandria via LeMat-Bulk. Energies are from PBE.

```
Pm3HoIn2
1.0
2.5023 -7.7666 0.0000
2.5023 7.7666 0.0000
0.0000 0.0000 4.5802
Pm Ho In
3 1 2
direct
0.0000 0.0000 0.0000
0.3267 0.6733 0.0000
0.6733 0.3267 0.0000
0.5000 0.5000 0.5000
0.1545 0.8455 0.5000
0.8455 0.1545 0.5000
```

Output
N(E_F)	6.69	states/eV/cell
symmetry	Cmmm, No. 65
electronic total energy	-4.361	eV per atom
DFT formation energy	-0.31	eV/atom
energy above the lowest structure with this stoichiometry	43	meV per atom

=====

# 7
Here is a relaxed TlCrGaPb2 crystal from Alexandria via LeMat-Bulk. Energies are from PBE.

```
TlCrGaPb2
1.0
5.8547 0.0000 0.0000
0.0000 5.8547 0.0000
0.0000 0.0000 5.2850
Tl Cr Ga Pb
1 1 1 2
direct
0.0000 0.0000 0.0000
0.0000 0.0000 0.5000
0.5000 0.5000 0.5000
0.0000 0.5000 0.0000
0.5000 0.0000 0.0000
```

Output
N(E_F)	3.18	states/eV/cell
symmetry	P4/mmm, No. 123
electronic total energy	-3.553	eV per atom
DFT formation energy	0.93	eV/atom

=====

# 8
Here is a relaxed Y2PtSCl crystal from Alexandria via LeMat-Bulk. Energies are from PBE.

```
Y2PtSCl
1.0
5.4178 0.0000 0.0000
0.0000 5.4178 0.0000
0.0000 0.0000 4.7584
Y Pt S Cl
2 1 1 1
direct
0.0000 0.5000 0.0000
0.5000 0.0000 0.0000
0.0000 0.0000 0.0000
0.0000 0.0000 0.5000
0.5000 0.5000 0.5000
```

Output
N(E_F)	2.52	states/eV/cell
symmetry	P4/mmm, No. 123
electronic total energy	-5.634	eV per atom
ΔE_f (raw)	-3.229	eV per formula unit